# SiAg2PdPt

A geometry-optimized SiAg2PdPt structure (PBE, Alexandria via LeMat-Bulk).

a b c (Å): 4.6924 4.4621 4.6924
angles (deg): 90.00 90.00 90.00
Positions (direct):
Si  0.0000  0.0000  0.0000
Pd  0.5000  0.5000  0.5000
Ag  0.0000  0.0000  0.5000
Ag  0.5000  0.0000  0.0000
Pt  0.0000  0.5000  0.0000

Output
Space group = No. 123
Spin magnetization = 0.00 μB per cell
E = -4.092 eV/atom

***

# DyEr3Th5

A geometry-optimized DyEr3Th5 structure (PBE, Alexandria via LeMat-Bulk).

a b c (Å): 9.1717 9.1717 9.6159
angles (deg): 118.48 118.48 90.00
Positions (direct):
Dy  0.7500  0.2500  0.5000
Dy  0.2500  0.7500  0.5000
Er  0.6043  0.1043  0.0000
Er  0.3957  0.8957  0.0000
Er  0.8957  0.6043  0.0000
Er  0.1043  0.3957  0.0000
Er  0.2500  0.2500  0.5000
Er  0.7500  0.7500  0.5000
Th  0.0806  0.5806  0.7470
Th  0.6664  0.1664  0.7470
Th  0.1664  0.0806  0.7470
Th  0.5806  0.6664  0.7470
Th  0.9194  0.4194  0.2530
Th  0.3336  0.8336  0.2530
Th  0.8336  0.9194  0.2530
Th  0.4194  0.3336  0.2530
Th  0.5000  0.5000  0.0000
Th  0.0000  0.0000  0.0000

Output
Space group = No. 140
Calculated formation energy = 43.5 kJ per mole of atoms
Spin magnetization = 0.01 μB per cell
E = -5.703 eV/atom

***

# CdCo4Tc

A geometry-optimized CdCo4Tc structure (PBE, Alexandria via LeMat-Bulk).

a b c (Å): 4.8104 4.8104 4.8104
angles (deg): 60.00 60.00 60.00
Site moments in Bohr magnetons follow the coordinates.
Positions (direct):
Cd  0.0000  0.0000  0.0000  -0.03
Co  0.6245  0.6245  0.1266  1.74
Co  0.6245  0.1266  0.6245  1.74
Co  0.6245  0.6245  0.6245  1.74
Co  0.1266  0.6245  0.6245  1.74
Tc  0.2500  0.2500  0.2500  1.47

Output
Space group = No. 216
Calculated formation energy = 23.4 kJ per mole of atoms
Spin magnetization = 8.44 μB per cell
E = -6.375 eV/atom

***

# Sc2PaS6

A geometry-optimized Sc2PaS6 structure (PBE, Alexandria via LeMat-Bulk).

a b c (Å): 6.1503 6.1503 11.6058
angles (deg): 90.00 90.00 90.00
Positions (direct):
Sc  0.0000  0.0000  0.3348
Sc  0.5000  0.5000  0.8348
Sc  0.5000  0.5000  0.1652
Sc  0.0000  0.0000  0.6652
Pa  0.0000  0.0000  0.0000
Pa  0.5000  0.5000  0.5000
S  0.3001  0.3001  0.3292
S  0.6999  0.6999  0.3292
S  0.1999  0.8001  0.8292
S  0.8001  0.1999  0.8292
S  0.1999  0.8001  0.1708
S  0.8001  0.1999  0.1708
S  0.3001  0.3001  0.6708
S  0.6999  0.6999  0.6708
S  0.3040  0.3040  0.0000
S  0.6960  0.6960  0.0000
S  0.1960  0.8040  0.5000
S  0.8040  0.1960  0.5000

Output
Space group = No. 136
ΔE to the lowest computed polymorph = 0.0 kJ/mol of atoms
Spin magnetization = 0.00 μB per cell
E = -6.709 eV/atom

***

# YSbPb2O6

A geometry-optimized YSbPb2O6 structure (PBE, Alexandria via LeMat-Bulk).

a b c (Å): 5.9260 5.9350 8.3903
angles (deg): 90.00 90.06 90.00
Positions (direct):
Y  0.5000  0.0000  0.0000
Y  0.0000  0.5000  0.5000
Sb  0.5000  0.0000  0.5000
Sb  0.0000  0.5000  0.0000
Pb  0.0053  0.9758  0.2466
Pb  0.5053  0.5242  0.7466
Pb  0.9947  0.0242  0.7534
Pb  0.4947  0.4758  0.2534
O  0.2695  0.7010  0.0395
O  0.7695  0.7990  0.5395
O  0.7305  0.2990  0.9605
O  0.2305  0.2010  0.4605
O  0.3056  0.7249  0.4638
O  0.8056  0.7751  0.9638
O  0.6944  0.2751  0.5362
O  0.1944  0.2249  0.0362
O  0.9267  0.5130  0.2350
O  0.4267  0.9870  0.7350
O  0.0733  0.4870  0.7650
O  0.5733  0.0130  0.2650

Output
Space group = No. 14
ΔE to the lowest computed polymorph = 0.5 kJ/mol of atoms
Spin magnetization = 0.00 μB per cell
E = -6.645 eV/atom

***

# La2ScSe

A geometry-optimized La2ScSe structure (PBE, Alexandria via LeMat-Bulk).

a b c (Å): 5.3203 5.3203 5.3203
angles (deg): 60.00 60.00 60.00
Site moments in Bohr magnetons follow the coordinates.
Positions (direct):
La  0.0000  0.0000  0.0000  0.12
La  0.2500  0.2500  0.2500  0.36
Sc  0.5000  0.5000  0.5000  0.30
Se  0.7500  0.7500  0.7500  -0.01

Output
Space group = No. 216
Spin magnetization = 1.30 μB per cell
E = -5.142 eV/atom

***

# RbBiAs2

A geometry-optimized RbBiAs2 structure (PBE, Alexandria via LeMat-Bulk).

a b c (Å): 8.1218 8.1218 7.3749
angles (deg): 56.59 56.59 90.00
Positions (direct):
As  0.7032  0.1250  0.2500
As  0.0468  0.6250  0.2500
As  0.3750  0.2968  0.7500
As  0.8750  0.9532  0.7500
Bi  0.0000  0.0000  0.0000
Bi  0.7500  0.2500  0.5000
Rb  0.5000  0.5000  0.0000
Rb  0.2500  0.7500  0.5000

Output
Space group = No. 122
Calculated formation energy = 2.6 kJ per mole of atoms
Spin magnetization = 0.00 μB per cell
E = -3.510 eV/atom

***

# CrNiHg3

A geometry-optimized CrNiHg3 structure (PBE, Alexandria via LeMat-Bulk).

a b c (Å): 4.9762 4.9762 4.9762
angles (deg): 90.00 90.00 90.00
Site moments in Bohr magnetons follow the coordinates.
Positions (direct):
Ni  0.0000  0.0000  0.0000  0.11
Hg  0.0000  0.5000  0.0000  0.00
Hg  0.0000  0.0000  0.5000  0.01
Hg  0.5000  0.0000  0.0000  0.01
Cr  0.5000  0.5000  0.5000  4.25

Output
Space group = No. 221
ΔE to the lowest computed polymorph = 0.0 kJ/mol of atoms
Calculated formation energy = 56.4 kJ per mole of atoms
Spin magnetization = 5.14 μB per cell
E = -2.677 eV/atom